1.
Entry from Alexandria via LeMat-Bulk: a geometry-optimized NaSb3H structure (PBE).

Relative energy among the computed polymorphs   1004.8 meV per atom
Fermi-level density of states   3.45 states/eV per cell
E   -2.214 eV/atom
Magnetization   0.71 μB/f.u.
Density   4.1 g/cm3

Lattice parameters (Å, degrees): 5.424 5.424 5.424 90.00 90.00 90.00
Element x y z (fractional)
Na  0.000  0.000  0.000
Sb  0.000  0.000  0.500
Sb  0.000  0.500  0.000
Sb  0.500  0.000  0.000
H  0.500  0.500  0.500

=====

2.
Entry from Alexandria via LeMat-Bulk: a geometry-optimized Na2SnSbH structure (PBE).

Relative energy among the computed polymorphs   88.3 meV per atom
Fermi-level density of states   0.69 states/eV per cell
E   -2.917 eV/atom
Magnetization   0.00 μB/f.u.
Density   4.5 g/cm3

Lattice parameters (Å, degrees): 4.759 4.759 4.731 90.00 90.00 90.00
Element x y z (fractional)
Na  0.000  0.500  0.000
Na  0.500  0.000  0.000
Sn  0.000  0.000  0.500
Sb  0.500  0.500  0.500
H  0.500  0.500  0.000

=====

3.
Entry from Alexandria via LeMat-Bulk: a geometry-optimized Na2SnSbH structure (PBE).

Relative energy among the computed polymorphs   0.0 meV per atom
Fermi-level density of states   0.54 states/eV per cell
E   -3.005 eV/atom
Magnetization   0.00 μB/f.u.
Density   4.5 g/cm3

Lattice parameters (Å, degrees): 4.679 4.679 4.893 90.00 90.00 90.00
Element x y z (fractional)
Na  0.000  0.500  0.000
Na  0.500  0.000  0.000
Sn  0.000  0.000  0.500
Sb  0.500  0.500  0.500
H  0.000  0.000  0.000

=====

4.
Entry from Alexandria via LeMat-Bulk: a geometry-optimized NaSr2SbH structure (PBE).

Fermi-level density of states   2.21 states/eV per cell
E   -2.993 eV/atom
Magnetization   0.00 μB/f.u.
Density   4.1 g/cm3

Lattice parameters (Å, degrees): 5.258 5.258 4.747 90.00 90.00 90.00
Element x y z (fractional)
Na  0.000  0.000  0.000
Sr  0.000  0.500  0.500
Sr  0.500  0.000  0.500
Sb  0.500  0.500  0.000
H  0.000  0.000  0.500

=====

5.
Entry from Alexandria via LeMat-Bulk: a geometry-optimized Na2SrSbH structure (PBE).

Fermi-level density of states   0.11 states/eV per cell
E   -2.922 eV/atom
Magnetization   0.00 μB/f.u.
Density   3.5 g/cm3

Lattice parameters (Å, degrees): 4.813 4.813 5.219 90.00 90.00 90.00
Element x y z (fractional)
Na  0.000  0.500  0.000
Na  0.500  0.000  0.000
Sr  0.000  0.000  0.500
Sb  0.500  0.500  0.500
H  0.000  0.000  0.000

=====

6.
Entry from Alexandria via LeMat-Bulk: a geometry-optimized NaTa2SbH structure (PBE).

Fermi-level density of states   2.35 states/eV per cell
E   -6.112 eV/atom
Magnetization   0.00 μB/f.u.
Density   10.1 g/cm3

Lattice parameters (Å, degrees): 4.091 4.091 4.993 90.00 90.00 90.00
Element x y z (fractional)
Na  0.000  0.000  0.000
Ta  0.000  0.500  0.500
Ta  0.500  0.000  0.500
Sb  0.500  0.500  0.000
H  0.500  0.500  0.500

=====

7.
Entry from Alexandria via LeMat-Bulk: a geometry-optimized NaSb2TeH structure (PBE).

Relative energy among the computed polymorphs   932.5 meV per atom
Fermi-level density of states   2.39 states/eV per cell
E   -2.123 eV/atom
Magnetization   0.80 μB/f.u.
Density   4.0 g/cm3

Lattice parameters (Å, degrees): 5.456 5.456 5.518 90.00 90.00 90.00
Element x y z (fractional)
Na  0.000  0.000  0.000
Sb  0.000  0.500  0.000
Sb  0.500  0.000  0.000
Te  0.000  0.000  0.500
H  0.500  0.500  0.500

=====

8.
Entry from Alexandria via LeMat-Bulk: a geometry-optimized NaSb2TeH structure (PBE).

Relative energy among the computed polymorphs   0.0 meV per atom
Fermi-level density of states   3.38 states/eV per cell
E   -3.055 eV/atom
Magnetization   0.00 μB/f.u.
Density   5.6 g/cm3

Lattice parameters (Å, degrees): 4.540 4.540 5.720 90.00 90.00 90.00
Element x y z (fractional)
Na  0.000  0.000  0.000
Sb  0.000  0.500  0.500
Sb  0.500  0.000  0.500
Te  0.500  0.500  0.000
H  0.500  0.500  0.500

=====

What is the magnetization in the second record? 0.00 μB/f.u.

=====

Which of these has the lowest Fermi-level density of states? Na2SrSbH